Compound: Tb6Pm16Dy7
Source: Alexandria
Functional: PBE
Structure: relaxed

The space group is Fm-3m (No. 225) and the conventional cell measures 15.9394, 15.9394 and 15.9394 Å, with angles of 90.00, 90.00 and 90.00 degrees. Symmetry generates all atoms from Tb at (0.0000, 0.0000, 0.2317), Pm at (0.1249, 0.1249, 0.3751), Pm at (0.1502, 0.1502, 0.1502), Dy at (0.0000, 0.0000, 0.5000) and Dy at (0.0000, 0.2500, 0.2500).

The value obtained for the electronic total energy is -4.476 eV per atom. Its calculated formation energy is 0.214 eV/atom. For the density of states at the Fermi level, the calculation gives 1.449 states/eV per atom.